Material: NpScB4
Method: DFT, PBE-GGA
State: relaxed

Cell lengths 4.5807, 4.5807, 4.5807 Å; angles 60.00, 60.00, 60.00 degrees
Sites, in units of the cell vectors:
Np (0.0000, 0.0000, 0.0000)
Sc (0.7500, 0.7500, 0.7500)
B (0.3481, 0.3481, 0.3481)
B (0.3481, 0.3481, 0.9556)
B (0.3481, 0.9556, 0.3481)
B (0.9556, 0.3481, 0.3481)

Calculated values
For the volume, the calculation gives 11.33 A^3/atom. The energy comes out at -7.2804 eV/atom. The density of states at the Fermi level is 1.911 states/eV per atom. The value obtained for the magnetic moment is 0.495 μB per atom.

---

Material: TbPr6Sm6
Method: DFT, PBE-GGA
State: relaxed

Cell lengths 6.8049, 6.8049, 11.5898 Å; angles 90.00, 90.00, 120.00 degrees
Sites, in units of the cell vectors:
Tb (0.0000, 0.0000, 0.0000)
Pr (0.0000, 0.5000, 0.2479)
Pr (0.0000, 0.5000, 0.7521)
Pr (0.5000, 0.0000, 0.2479)
Pr (0.5000, 0.0000, 0.7521)
Pr (0.5000, 0.5000, 0.2479)
Pr (0.5000, 0.5000, 0.7521)
Sm (0.0000, 0.0000, 0.3529)
Sm (0.0000, 0.0000, 0.6471)
Sm (0.3333, 0.6667, 0.0000)
Sm (0.3333, 0.6667, 0.5000)
Sm (0.6667, 0.3333, 0.0000)
Sm (0.6667, 0.3333, 0.5000)

Calculated values
For the volume, the calculation gives 35.75 A^3/atom. The energy comes out at -4.4574 eV/atom. The density of states at the Fermi level is 1.938 states/eV per atom. The value obtained for the magnetic moment is 0.000 μB per atom.

---

Material: Li5Eu3In12
Method: DFT, PBE-GGA
State: relaxed

Cell lengths 14.7930, 14.7930, 14.7930 Å; angles 109.47, 109.47, 109.47 degrees
Sites, in units of the cell vectors:
Li (0.0000, 0.0000, 0.0000)
Li (0.0000, 0.0000, 0.5000)
Li (0.0000, 0.5000, 0.0000)
Li (0.0000, 0.5000, 0.5000)
Li (0.1250, 0.7500, 0.8750)
Li (0.1250, 0.8750, 0.2500)
Li (0.2500, 0.1250, 0.8750)
Li (0.2500, 0.6250, 0.3750)
Li (0.3750, 0.2500, 0.6250)
Li (0.3750, 0.6250, 0.7500)
Li (0.5000, 0.0000, 0.0000)
Li (0.5000, 0.0000, 0.5000)
Li (0.5000, 0.5000, 0.0000)
Li (0.5000, 0.5000, 0.5000)
Li (0.6250, 0.3750, 0.2500)
Li (0.6250, 0.7500, 0.3750)
Li (0.7500, 0.3750, 0.6250)
Li (0.7500, 0.8750, 0.1250)
Li (0.8750, 0.1250, 0.7500)
Li (0.8750, 0.2500, 0.1250)
Eu (0.1250, 0.2500, 0.3750)
Eu (0.1250, 0.3750, 0.7500)
Eu (0.2500, 0.3750, 0.1250)
Eu (0.2500, 0.8750, 0.6250)
Eu (0.3750, 0.1250, 0.2500)
Eu (0.3750, 0.7500, 0.1250)
Eu (0.6250, 0.2500, 0.8750)
Eu (0.6250, 0.8750, 0.7500)
Eu (0.7500, 0.1250, 0.3750)
Eu (0.7500, 0.6250, 0.8750)
Eu (0.8750, 0.6250, 0.2500)
Eu (0.8750, 0.7500, 0.6250)
In (0.0013, 0.6833, 0.0573)
In (0.0013, 0.8179, 0.9439)
In (0.0561, 0.5573, 0.8740)
In (0.0561, 0.9987, 0.1821)
In (0.0573, 0.0013, 0.6833)
In (0.0573, 0.5561, 0.3740)
In (0.1260, 0.6821, 0.6833)
In (0.1260, 0.9439, 0.4427)
In (0.1821, 0.0561, 0.9987)
In (0.1821, 0.6260, 0.1833)
In (0.1833, 0.1821, 0.6260)
In (0.1833, 0.5013, 0.5573)
In (0.3167, 0.8740, 0.3179)
In (0.3167, 0.9427, 0.9987)
In (0.3179, 0.3167, 0.8740)
In (0.3179, 0.5013, 0.4439)
In (0.3740, 0.0573, 0.5561)
In (0.3740, 0.8167, 0.8179)
In (0.4427, 0.1260, 0.9439)
In (0.4427, 0.8167, 0.4987)
In (0.4439, 0.3179, 0.5013)
In (0.4439, 0.6260, 0.9427)
In (0.4987, 0.4427, 0.8167)
In (0.4987, 0.5561, 0.6821)
In (0.5013, 0.4439, 0.3179)
In (0.5013, 0.5573, 0.1833)
In (0.5561, 0.3740, 0.0573)
In (0.5561, 0.6821, 0.4987)
In (0.5573, 0.1833, 0.5013)
In (0.5573, 0.8740, 0.0561)
In (0.6260, 0.1833, 0.1821)
In (0.6260, 0.9427, 0.4439)
In (0.6821, 0.4987, 0.5561)
In (0.6821, 0.6833, 0.1260)
In (0.6833, 0.0573, 0.0013)
In (0.6833, 0.1260, 0.6821)
In (0.8167, 0.4987, 0.4427)
In (0.8167, 0.8179, 0.3740)
In (0.8179, 0.3740, 0.8167)
In (0.8179, 0.9439, 0.0013)
In (0.8740, 0.0561, 0.5573)
In (0.8740, 0.3179, 0.3167)
In (0.9427, 0.4439, 0.6260)
In (0.9427, 0.9987, 0.3167)
In (0.9439, 0.0013, 0.8179)
In (0.9439, 0.4427, 0.1260)
In (0.9987, 0.1821, 0.0561)
In (0.9987, 0.3167, 0.9427)

Calculated values
For the volume, the calculation gives 31.15 A^3/atom. The energy comes out at -3.5845 eV/atom. The density of states at the Fermi level is 1.653 states/eV per atom. The value obtained for the magnetic moment is 1.070 μB per atom.

---

Material: GaRuIN2
Method: DFT, PBE-GGA
State: relaxed

Cell lengths 3.8933, 3.8933, 5.8479 Å; angles 90.00, 90.00, 90.00 degrees
Sites, in units of the cell vectors:
Ga (0.0000, 0.0000, 0.0000)
Ru (0.5000, 0.5000, 0.5000)
I (0.0000, 0.0000, 0.5000)
N (0.0000, 0.5000, 0.0000)
N (0.5000, 0.0000, 0.0000)

Calculated values
For the volume, the calculation gives 17.73 A^3/atom. The energy comes out at -4.3924 eV/atom. The value obtained for the energy above the lowest structure with this stoichiometry is 657 meV per atom. For the uncorrected formation energy, the calculation gives 1708 meV/atom. The density of states at the Fermi level is 1.362 states/eV per atom. The value obtained for the magnetic moment is 0.872 μB per atom.